1.
Here is an optimized crystal structure of La2Sm6Er3In from Alexandria via LeMat-Bulk. Energies are from GGA-PBE.

abc: 6.174 10.702 11.881
angles: 90.00 100.01 90.00
Space group C2/m (No. 12)
Inequivalent atoms, fractional coordinates:
La  0.000  0.167  0.000
Sm  0.241  0.500  0.746
Sm  0.247  0.337  0.253
Er  0.000  0.000  0.500
Er  0.000  0.333  0.500
In  0.000  0.500  0.000

## Properties
As for the magnetic moment: 0.000 μB/f.u. As for the raw total energy: -4.61 eV per atom. The formation energy comes out at -0.060 eV per atom. For the volume, the calculation gives 32.21 Å³ per atom.

2.
Here is an optimized crystal structure of LaSmErIn from Alexandria via LeMat-Bulk. Energies are from GGA-PBE.

abc: 7.797 7.797 7.797
angles: 90.00 90.00 90.00
Space group F-43m (No. 216)
Inequivalent atoms, fractional coordinates:
La  0.000  0.000  0.000
Sm  0.250  0.250  0.750
Er  0.250  0.250  0.250
In  0.000  0.000  0.500

## Properties
As for the magnetic moment: 0.039 μB/f.u. As for the raw total energy: -4.33 eV per atom. The calculation puts the energy above the lowest structure with this stoichiometry at 0.068 eV/atom. The formation energy comes out at -0.096 eV per atom. For the volume, the calculation gives 29.62 Å³ per atom.

3.
Here is an optimized crystal structure of LaSm2ErIn2 from Alexandria via LeMat-Bulk. Energies are from GGA-PBE.

abc: 5.308 10.071 6.822
angles: 90.00 90.00 90.00
Space group Pmc2_1 (No. 26)
Inequivalent atoms, fractional coordinates:
La  0.000  0.039  0.000
Sm  0.000  0.322  0.359
Sm  0.500  0.457  0.076
Er  0.500  0.187  0.725
In  0.000  0.356  0.829
In  0.500  0.141  0.259

## Properties
As for the magnetic moment: 0.000 μB/f.u. As for the raw total energy: -4.41 eV per atom. The formation energy comes out at -0.345 eV per atom. For the volume, the calculation gives 30.39 Å³ per atom.

4.
Here is an optimized crystal structure of LaErInSn from Alexandria via LeMat-Bulk. Energies are from GGA-PBE.

abc: 7.706 7.706 7.706
angles: 90.00 90.00 90.00
Space group F-43m (No. 216)
Inequivalent atoms, fractional coordinates:
La  0.000  0.000  0.000
Er  0.000  0.000  0.500
In  0.250  0.250  0.250
Sn  0.250  0.250  0.750

## Properties
As for the magnetic moment: 0.000 μB/f.u. As for the raw total energy: -4.59 eV per atom. The formation energy comes out at -0.533 eV per atom. For the volume, the calculation gives 28.60 Å³ per atom.

Q: Look up the raw total energy of the fourth one.
A: -4.59 eV per atom

Q: What is the raw total energy in the second record?
A: -4.33 eV per atom

What did the fourth record say?
Here is an optimized crystal structure of LaErInSn from Alexandria via LeMat-Bulk. Energies are from GGA-PBE.

abc: 7.706 7.706 7.706
angles: 90.00 90.00 90.00
Space group F-43m (No. 216)
Inequivalent atoms, fractional coordinates:
La  0.000  0.000  0.000
Er  0.000  0.000  0.500
In  0.250  0.250  0.250
Sn  0.250  0.250  0.750

## Properties
As for the magnetic moment: 0.000 μB/f.u. As for the raw total energy: -4.59 eV per atom. The formation energy comes out at -0.533 eV per atom. For the volume, the calculation gives 28.60 Å³ per atom.